NaY3Tl4 | PBE | optimized geometry

Calculated values
* volume: 217 Å³/f.u.
* formation energy: -0.312 eV per atom
* crystal system: trigonal
* spin magnetization: 0.0000 μB/atom

Cell: 5.3311 5.3311 26.5081 Å, 90.00 90.00 120.00°
Space group R-3m (No. 166, hexagonal axes)
Symmetry-distinct sites (fractional):
Na  0.0000  0.0000  0.0000 (multiplicity 3)
Y  0.0000  0.0000  0.2539 (multiplicity 6)
Y  0.0000  0.0000  0.5000 (multiplicity 3)
Tl  0.0000  0.0000  0.1246 (multiplicity 6)
Tl  0.0000  0.0000  0.3748 (multiplicity 6)